Entry 1:
MgScBi PBE-GGA optimized geometry; relative energy among the computed polymorphs = 47 meV per atom; E_form = -3.39 kcal/mol of atoms; spin magnetization = 0.0 μB per cell; uncorrected energy = -4.0826 eV per atom; DOS at the Fermi energy = 1.6 states/eV/f.u.
1.0
3.571 0.000 0.000
0.000 4.942 0.000
0.000 -2.471 4.280
Mg Sc Bi
1 1 1
Direct
0.912 0.000 0.000
0.339 0.333 0.667
0.749 0.667 0.333



Entry 2:
MgCoP4 PBE-GGA optimized geometry; E_form = 12.01 kcal/mol of atoms; spin magnetization = 1.6 μB per cell; uncorrected energy = -4.5359 eV per atom; DOS at the Fermi energy = 3.9 states/eV/f.u.
1.0
0.000 3.553 3.553
3.553 0.000 3.553
3.553 3.553 0.000
P Co Mg
4 1 1
Direct
0.377 0.377 0.869
0.869 0.377 0.377
0.377 0.869 0.377
0.377 0.377 0.377
0.750 0.750 0.750
0.000 0.000 0.000



Entry 3:
Tc2Pb PBE-GGA optimized geometry; relative energy among the computed polymorphs = 79 meV per atom; E_form = 10.20 kcal/mol of atoms; spin magnetization = 0.0 μB per cell; uncorrected energy = -7.7045 eV per atom; DOS at the Fermi energy = 2.9 states/eV/f.u.
1.0
-5.284 -1.678 -0.126
-4.593 -0.987 -2.946
-0.323 -7.002 -1.795
Tc Pb
4 2
Direct
0.126 0.126 0.480
0.455 0.455 0.761
0.874 0.874 0.520
0.545 0.545 0.239
0.831 0.831 0.144
0.169 0.169 0.856



Entry 4:
Ba2CaP PBE-GGA optimized geometry; E_form = -3.67 kcal/mol of atoms; spin magnetization = 0.0 μB per cell; uncorrected energy = -2.9733 eV per atom; DOS at the Fermi energy = 3.2 states/eV/f.u.
1.0
-5.044 1.464 -3.905
-4.321 -4.856 -0.760
2.858 2.882 5.134
Ba P Ca
2 1 1
Direct
0.500 0.500 0.000
0.000 0.000 0.000
0.750 0.250 0.500
0.250 0.750 0.500



Entry 5:
BaSb2Pb PBE-GGA optimized geometry; formation energy from raw total energies = -44 kJ/mol of atoms; spin magnetization = 0.0 μB per cell; uncorrected energy = -3.9287 eV per atom; DOS at the Fermi energy = 1.2 states/eV/f.u.
1.0
-3.242 1.437 -3.359
-3.591 -0.993 3.159
4.041 11.330 4.439
Sb Ba Pb
4 2 2
Direct
0.349 0.349 0.676
0.932 0.510 0.000
0.673 0.673 0.324
0.510 0.932 0.000
0.902 0.902 0.789
0.113 0.113 0.211
0.260 0.760 0.500
0.760 0.260 0.500



Entry 6:
BaScSb4 PBE-GGA optimized geometry; formation energy from raw total energies = -15 kJ/mol of atoms; spin magnetization = 0.0 μB per cell; uncorrected energy = -4.2749 eV per atom; DOS at the Fermi energy = 6.3 states/eV/f.u.
1.0
0.112 0.449 6.379
-4.881 2.735 3.099
-3.957 -3.579 3.527
Sb Ba Sc
4 1 1
Direct
0.377 0.377 0.870
0.377 0.870 0.377
0.870 0.377 0.377
0.377 0.377 0.377
0.000 0.000 0.000
0.750 0.750 0.750